# Y2Zn | Alexandria via LeMat-Bulk | PBEsol | optimized geometry
data_Y2Zn
_chemical_formula_sum 'Y16 Zn8'
_cell_length_a 9.465
_cell_length_b 9.465
_cell_length_c 9.465
_cell_angle_alpha 60.00
_cell_angle_beta 60.00
_cell_angle_gamma 60.00
_space_group_name_H-M_alt 'P 1'
_space_group_IT_number 1
loop_
_space_group_symop_operation_xyz
'x,y,z'
loop_
_atom_site_label
_atom_site_fract_x
_atom_site_fract_y
_atom_site_fract_z
Y1 0.186 0.814 0.814
Y2 0.436 0.436 0.064
Y3 0.625 0.125 0.625
Y4 0.814 0.186 0.186
Y5 0.625 0.625 0.125
Y6 0.814 0.186 0.814
Y7 0.064 0.436 0.064
Y8 0.436 0.064 0.436
Y9 0.064 0.064 0.436
Y10 0.625 0.625 0.625
Y11 0.186 0.186 0.814
Y12 0.436 0.064 0.064
Y13 0.186 0.814 0.186
Y14 0.064 0.436 0.436
Y15 0.814 0.814 0.186
Y16 0.125 0.625 0.625
Zn1 0.484 0.839 0.839
Zn2 0.411 0.766 0.411
Zn3 0.839 0.484 0.839
Zn4 0.766 0.411 0.411
Zn5 0.411 0.411 0.766
Zn6 0.411 0.411 0.411
Zn7 0.839 0.839 0.484
Zn8 0.839 0.839 0.839
# E_form in eV/atom: -0.212
# E_tot in eV per cell: -126.90
# DOS(E_F) in states/eV/f.u.: 2.450
# Mass density in g cm⁻³: 5.39
# M_tot in μB/f.u.: 0.00
# Crystal system: cubic